Record 1
Density functional theory data (PBE-GGA) for an optimized crystal structure of BaIrAu.

Calculated values
SG: P-6m2, No. 187
ΔE_f: -0.18 eV/atom
E: -4.864 eV/atom
calculated volume: 82.01 Å³/cell
N(E_F): 0.74 states/eV per atom

Cell and atoms, written as extended XYZ:
```
3
Lattice="-1.376 -1.884 3.842 3.843 -1.337 -1.909 2.340 3.252 2.433" Properties=species:S:1:pos:R:3 pbc="T T T"
Ir 4.054 1.191 2.036
Ba 1.144 -0.618 2.736
Au 1.949 2.709 2.027
```

---

Record 2
Density functional theory data (PBE-GGA) for an optimized crystal structure of Ho3Sc5Sb2.

Calculated values
SG: Ibam, No. 72
E: -5.560 eV/atom
calculated volume: 539.54 Å³/cell
formation energy (no corrections): -197 meV/atom
N(E_F): 1.48 states/eV per atom

Cell and atoms, written as extended XYZ:
```
20
Lattice="6.114 0.000 0.000 3.057 9.235 -2.071 3.057 0.454 9.454" Properties=species:S:1:pos:R:3 pbc="T T T"
Sc 7.642 2.546 1.940
Sc 4.585 4.845 3.691
Sc 9.171 4.257 6.209
Sc 3.057 5.432 1.173
Sc 4.585 2.546 1.940
Sc 6.114 7.117 2.457
Sc 6.114 2.573 4.926
Sc 4.585 7.144 5.443
Sc 7.642 7.144 5.443
Sc 7.642 4.845 3.691
Ho 6.114 6.061 -0.599
Ho 9.171 8.659 1.380
Ho 1.528 0.000 0.000
Ho 3.057 1.031 6.003
Ho 6.114 3.628 7.982
Ho 4.585 0.000 0.000
Sb 6.114 2.755 -0.609
Sb 9.171 9.545 4.565
Sb 3.057 0.144 2.818
Sb 6.114 6.934 7.991
```

---

Record 3
Density functional theory data (PBE-GGA) for an optimized crystal structure of NaAc2Sm3Se6.

Calculated values
SG: C2/m, No. 12
E: -5.508 eV/atom
calculated volume: 335.15 Å³/cell
formation energy (no corrections): -1791 meV/atom
N(E_F): 0.45 states/eV per atom

Cell and atoms, written as extended XYZ:
```
12
Lattice="7.391 -0.007 -0.004 -3.700 6.398 -0.004 -1.234 -2.137 7.094" Properties=species:S:1:pos:R:3 pbc="T T T"
Se -0.037 -0.064 5.240
Se 2.405 -0.006 1.871
Se 3.664 2.173 5.216
Se -1.207 2.080 1.871
Se 2.494 4.318 1.847
Se 0.052 4.259 5.216
Ac 0.006 4.258 -0.004
Ac 3.685 2.133 -0.004
Sm 4.935 -0.014 3.543
Sm -2.478 4.267 3.543
Sm 1.228 2.127 3.543
Na 0.000 0.000 0.000
```

---

Record 4
Density functional theory data (PBE-GGA) for an optimized crystal structure of Ho6Bi5Se.

Calculated values
SG: C2/m, No. 12
E: -5.173 eV/atom
calculated volume: 361.01 Å³/cell
formation energy (no corrections): -977 meV/atom
N(E_F): 0.24 states/eV per atom

Cell and atoms, written as extended XYZ:
```
12
Lattice="7.531 0.185 1.145 1.851 6.392 3.726 0.128 0.075 7.612" Properties=species:S:1:pos:R:3 pbc="T T T"
Ho 3.617 5.974 8.855
Ho 5.893 0.678 3.628
Ho 6.536 2.772 7.522
Ho 2.973 3.880 4.961
Ho 2.331 1.580 1.181
Ho 7.050 4.997 3.690
Bi 4.167 1.237 6.214
Bi 0.662 2.163 3.765
Bi 5.343 5.415 6.269
Bi 4.691 3.288 2.435
Bi 1.317 4.304 7.573
Se 0.000 0.000 0.000
```

---

Record 5
Density functional theory data (PBE-GGA) for an optimized crystal structure of ScWCl2.

Calculated values
SG: I-4m2, No. 119
E: -5.384 eV/atom
calculated volume: 71.40 Å³/cell
formation energy (no corrections): 360 meV/atom
N(E_F): 1.07 states/eV per atom

Cell and atoms, written as extended XYZ:
```
4
Lattice="-1.347 -0.871 -5.802 2.353 -3.886 -3.950 -2.256 0.637 5.545" Properties=species:S:1:pos:R:3 pbc="T T T"
W -1.550 -1.306 -2.567
Sc 0.503 -2.378 -4.876
Cl 0.000 0.000 0.000
Cl 0.300 -2.813 -1.641
```

---

Record 6
Density functional theory data (PBE-GGA) for an optimized crystal structure of Pr2Pd9Pb.

Calculated values
SG: R-3m, No. 166
ΔE_f: -0.48 eV/atom
E: -5.477 eV/atom
calculated volume: 232.08 Å³/cell
N(E_F): 0.59 states/eV per atom

Cell and atoms, written as extended XYZ:
```
12
Lattice="5.437 0.000 0.000 2.718 4.708 0.000 2.718 1.569 9.067" Properties=species:S:1:pos:R:3 pbc="T T T"
Pd 6.806 2.348 2.314
Pd 2.718 1.569 0.007
Pd 4.067 3.930 6.753
Pd 5.437 1.557 6.753
Pd 6.806 3.930 6.753
Pd 4.067 2.348 2.314
Pd 8.155 4.708 9.060
Pd 5.437 3.139 4.533
Pd 5.437 4.721 2.314
Pr 2.718 1.569 5.375
Pr 8.155 4.708 3.692
Pb 0.000 0.000 0.000
```

---

Record 7
Density functional theory data (PBE-GGA) for an optimized crystal structure of NdHo3Au4.

Calculated values
SG: R-3m, No. 166
ΔE_f: -0.84 eV/atom
E: -4.790 eV/atom
calculated volume: 190.05 Å³/cell
N(E_F): 0.51 states/eV per atom

Cell and atoms, written as extended XYZ:
```
8
Lattice="-2.810 3.036 2.979 -4.466 -1.645 1.825 1.493 -2.605 8.424" Properties=species:S:1:pos:R:3 pbc="T T T"
Ho -4.351 -0.900 9.898
Ho -1.432 -0.314 3.331
Ho -2.892 -0.607 6.614
Au -4.296 0.493 4.169
Au -1.487 -1.707 9.059
Au -0.012 -1.426 5.803
Au -5.771 0.212 7.425
Nd 0.000 0.000 0.000
```

---

Record 8
Density functional theory data (PBE-GGA) for an optimized crystal structure of Pu2AsBr.

Calculated values
SG: R3m, No. 160
E: -9.731 eV/atom
calculated volume: 108.13 Å³/cell
formation energy (no corrections): -984 meV/atom
N(E_F): 4.58 states/eV per atom

Cell and atoms, written as extended XYZ:
```
4
Lattice="-2.009 2.238 2.733 -2.949 -1.684 2.232 3.423 -1.706 6.933" Properties=species:S:1:pos:R:3 pbc="T T T"
Pu -0.530 -0.233 2.822
Pu 2.294 -1.286 5.760
Br -0.738 -0.587 5.979
As 0.096 -1.329 10.220
```

---

Record 9
Density functional theory data (PBE-GGA) for an optimized crystal structure of TaNb4Rh7.

Calculated values
SG: C2/m, No. 12
ΔE_f: -0.13 eV/atom
E: -8.766 eV/atom
calculated volume: 204.50 Å³/cell
N(E_F): 0.85 states/eV per atom

Cell and atoms, written as extended XYZ:
```
12
Lattice="-2.389 -3.628 1.832 5.886 -5.784 2.285 -0.506 0.180 5.764" Properties=species:S:1:pos:R:3 pbc="T T T"
Ta 0.000 0.000 0.000
Rh -0.691 -5.152 7.095
Rh -1.194 -1.814 0.916
Rh 3.224 -8.025 6.510
Rh 3.682 -4.081 2.785
Rh 1.053 -4.948 3.705
Rh -0.233 -1.208 3.371
Rh 1.939 -4.284 6.176
Nb 1.745 -6.422 7.758
Nb 3.351 -5.872 4.872
Nb 1.246 -2.811 2.123
Nb -0.360 -3.361 5.008
```

---

Record 10
Density functional theory data (PBE-GGA) for an optimized crystal structure of Th6Ge3SbP2.

Calculated values
SG: C2/m, No. 12
E: -7.145 eV/atom
calculated volume: 334.94 Å³/cell
formation energy (no corrections): -1035 meV/atom
N(E_F): 0.55 states/eV per atom

Cell and atoms, written as extended XYZ:
```
12
Lattice="4.288 0.000 0.000 0.000 8.582 0.339 -2.144 -2.437 9.006" Properties=species:S:1:pos:R:3 pbc="T T T"
Sb 2.144 0.000 0.000
Ge 2.144 -0.201 6.122
Ge 2.144 4.291 0.170
Ge 0.000 6.346 3.223
P 0.000 2.052 3.143
P 2.144 4.093 6.202
Th 2.144 3.880 9.183
Th 0.000 2.265 0.162
Th 0.000 1.989 6.113
Th 2.144 4.156 3.232
Th 0.000 6.202 6.193
Th 2.144 -0.057 3.152
```

---

Record 11
Density functional theory data (PBE-GGA) for an optimized crystal structure of Nd4TmZn.

Calculated values
SG: P4/mmm, No. 123
ΔE_f: -0.09 eV/atom
E: -4.227 eV/atom
calculated volume: 186.41 Å³/cell
N(E_F): 1.13 states/eV per atom

Cell and atoms, written as extended XYZ:
```
6
Lattice="-3.451 -1.217 -0.138 1.167 -3.140 -1.480 1.420 -5.460 12.706" Properties=species:S:1:pos:R:3 pbc="T T T"
Nd 0.521 -2.005 4.666
Nd 0.898 -3.455 8.039
Nd -0.889 -3.152 1.456
Nd 0.025 -6.665 9.633
Zn -0.432 -4.908 5.544
Tm 0.000 0.000 0.000
```

---

Record 12
Density functional theory data (PBE-GGA) for an optimized crystal structure of Tb3Y6Th.

Calculated values
SG: Cmc2_1, No. 36
ΔE_f: 0.16 eV/atom
E: -5.849 eV/atom
calculated volume: 661.86 Å³/cell
N(E_F): 1.54 states/eV per atom

Cell and atoms, written as extended XYZ:
```
20
Lattice="6.285 0.000 0.000 0.000 10.867 -1.542 0.000 -3.928 10.249" Properties=species:S:1:pos:R:3 pbc="T T T"
Y 5.465 4.853 -0.252
Y 2.500 10.176 -0.992
Y 4.070 0.131 7.014
Y 5.642 -3.238 9.699
Y 3.386 3.948 6.301
Y 3.386 1.678 3.452
Y 5.465 8.267 4.033
Y 0.244 5.261 5.254
Y 0.244 2.991 2.406
Y 2.323 -1.329 4.674
Y 2.323 2.086 8.959
Y 0.928 6.807 1.693
Tb 2.849 2.844 0.197
Tb 3.574 5.129 3.030
Tb 2.849 7.381 5.890
Tb 5.992 4.095 8.510
Tb 5.992 -0.443 2.816
Tb 0.432 1.809 5.676
Th 4.070 7.826 0.881
Th 0.927 -0.887 7.825
```

---

Record 13
Density functional theory data (PBE-GGA) for an optimized crystal structure of GdHoTlIr.

Calculated values
SG: F-43m, No. 216
ΔE_f: -0.47 eV/atom
E: -7.943 eV/atom
calculated volume: 94.42 Å³/cell
N(E_F): 0.56 states/eV per atom

Cell and atoms, written as extended XYZ:
```
4
Lattice="5.111 0.000 0.000 2.556 4.426 0.000 2.556 1.475 4.173" Properties=species:S:1:pos:R:3 pbc="T T T"
Ho 7.667 4.426 3.130
Gd 2.556 1.475 1.043
Ir 5.111 2.951 2.087
Tl 0.000 0.000 0.000
```

---

Record 14
Density functional theory data (PBE-GGA) for an optimized crystal structure of TbPaPbO6.

Calculated values
SG: P312, No. 149
E: -7.883 eV/atom
calculated volume: 135.16 Å³/cell
formation energy (no corrections): -2596 meV/atom
N(E_F): 0.00 states/eV per atom

Cell and atoms, written as extended XYZ:
```
9
Lattice="-0.658 -1.807 -4.469 5.263 -2.091 0.071 -4.318 -3.133 1.903" Properties=species:S:1:pos:R:3 pbc="T T T"
Pa -1.124 -2.786 1.292
O 0.075 -2.197 -0.465
O -0.940 -4.926 0.788
O -3.039 -5.112 -1.439
O -1.876 -2.442 -2.690
O 0.069 -4.850 -2.003
O -3.007 -2.608 0.155
Pb -0.329 -0.904 -2.234
Tb 1.740 -3.342 -1.553
```

---

Record 15
Density functional theory data (PBE-GGA) for an optimized crystal structure of LiSeO.

Calculated values
SG: C2/m, No. 12
E: -4.415 eV/atom
calculated volume: 93.25 Å³/cell
formation energy (no corrections): -963 meV/atom
N(E_F): 0.16 states/eV per atom

Cell and atoms, written as extended XYZ:
```
6
Lattice="-0.815 -1.525 -2.237 5.159 0.502 -0.435 -9.953 -4.945 7.000" Properties=species:S:1:pos:R:3 pbc="T T T"
O -6.016 -3.931 3.086
O 0.407 -2.037 1.241
Li -1.475 -2.831 0.681
Li -4.135 -3.137 3.646
Se 1.362 -0.984 0.175
Se -6.971 -4.985 4.153
```

---

Record 16
Density functional theory data (PBE-GGA) for an optimized crystal structure of Tm12TlNi6.

Calculated values
SG: Im-3, No. 204
ΔE_f: -0.38 eV/atom
E: -5.156 eV/atom
calculated volume: 436.94 Å³/cell
N(E_F): 1.14 states/eV per atom

Cell and atoms, written as extended XYZ:
```
19
Lattice="8.280 0.000 0.000 -2.760 7.806 0.000 -2.760 -3.903 6.760" Properties=species:S:1:pos:R:3 pbc="T T T"
Tm 2.815 6.182 1.270
Tm 3.390 3.458 3.448
Tm 0.630 3.091 1.270
Tm 0.055 3.615 4.718
Tm -2.130 5.160 2.042
Tm -0.630 0.445 3.313
Tm 2.705 0.288 2.042
Tm -2.815 1.991 5.989
Tm -0.055 -2.279 5.490
Tm 4.890 -1.257 4.718
Tm 2.130 0.812 5.490
Tm 5.575 1.912 0.772
Ni 4.836 0.985 3.380
Ni 2.077 -1.468 4.217
Ni 3.443 3.420 0.837
Ni -0.683 0.483 5.923
Ni -2.077 2.918 3.380
Ni 0.683 5.371 2.543
Tl 0.000 0.000 0.000
```

---

Record 17
Density functional theory data (PBE-GGA) for an optimized crystal structure of Y2Al3Ag2.

Calculated values
SG: C2/m, No. 12
ΔE_f: -0.40 eV/atom
E: -4.667 eV/atom
calculated volume: 145.75 Å³/cell
N(E_F): 0.46 states/eV per atom

Cell and atoms, written as extended XYZ:
```
7
Lattice="-1.006 -2.751 3.303 -2.990 -1.147 -4.817 6.353 -2.484 -0.133" Properties=species:S:1:pos:R:3 pbc="T T T"
Al 0.814 -3.432 -2.610
Al 1.542 -2.950 0.964
Al -0.503 -1.376 1.652
Y -1.533 -3.702 -0.600
Y 3.889 -2.679 -1.047
Ag 1.838 -5.046 -0.692
Ag 0.518 -1.335 -0.954
```

---

Record 18
Density functional theory data (PBE-GGA) for an optimized crystal structure of CsLi2GeRu.

Calculated values
SG: P4/mmm, No. 123
ΔE_f: 1.76 eV/atom
E: -1.959 eV/atom
calculated volume: 123.41 Å³/cell
N(E_F): 0.84 states/eV per atom

Cell and atoms, written as extended XYZ:
```
5
Lattice="-1.966 2.217 -3.595 0.503 -4.693 -3.170 -4.203 -1.415 1.427" Properties=species:S:1:pos:R:3 pbc="T T T"
Ru -2.833 -1.945 -2.669
Li -0.983 1.109 -1.797
Li -2.102 -0.707 0.713
Cs 0.000 0.000 0.000
Ge 0.252 -2.347 -1.585
```

---

Record 19
Density functional theory data (PBE-GGA) for an optimized crystal structure of AlSb2F.

Calculated values
SG: I-42d, No. 122
E: -3.848 eV/atom
calculated volume: 185.32 Å³/cell
formation energy (no corrections): -383 meV/atom
N(E_F): 0.17 states/eV per atom

Cell and atoms, written as extended XYZ:
```
8
Lattice="4.545 0.000 0.000 0.000 4.545 0.000 2.273 2.273 8.970" Properties=species:S:1:pos:R:3 pbc="T T T"
Sb 5.682 5.500 6.728
Sb 3.227 1.136 2.243
Sb 3.409 3.591 6.728
Sb 1.318 3.409 2.243
Al 0.000 0.000 0.000
Al 4.545 2.273 4.485
F 2.273 2.273 0.000
F 2.273 4.545 4.485
```

---

Record 20
Density functional theory data (PBE-GGA) for an optimized crystal structure of PrCd2.

Calculated values
SG: P6/mmm, No. 191
ΔE_f: -0.35 eV/atom
E: -2.552 eV/atom
calculated volume: 79.03 Å³/cell
N(E_F): 0.79 states/eV per atom

Cell and atoms, written as extended XYZ:
```
3
Lattice="-3.222 -0.305 1.314 1.974 -1.102 4.584 -0.974 4.856 -1.263" Properties=species:S:1:pos:R:3 pbc="T T T"
Cd 0.008 2.870 0.686
Cd 0.991 0.884 2.635
Pr -1.611 -0.152 0.657
```

---

Record 21
Density functional theory data (PBE-GGA) for an optimized crystal structure of TcMoPd.

Calculated values
SG: P3m1, No. 156
ΔE_f: 0.13 eV/atom
E: -8.666 eV/atom
calculated volume: 45.92 Å³/cell
N(E_F): 1.02 states/eV per atom

Cell and atoms, written as extended XYZ:
```
3
Lattice="2.651 0.000 0.000 0.000 4.472 0.000 0.000 -2.236 3.873" Properties=species:S:1:pos:R:3 pbc="T T T"
Pd 2.563 0.000 0.000
Tc 1.059 0.000 2.582
Mo 1.681 2.236 1.291
```

---

Record 22
Density functional theory data (PBE-GGA) for an optimized crystal structure of Tm2MgSn4.

Calculated values
SG: P-4m2, No. 115
ΔE_f: -0.31 eV/atom
E: -4.107 eV/atom
calculated volume: 188.90 Å³/cell
N(E_F): 0.73 states/eV per atom

Cell and atoms, written as extended XYZ:
```
7
Lattice="-2.763 0.471 -3.329 -3.172 -1.794 2.379 -2.555 9.023 3.396" Properties=species:S:1:pos:R:3 pbc="T T T"
Tm -2.232 1.387 2.049
Tm -3.290 6.975 0.872
Sn -3.646 6.378 3.928
Sn -1.277 4.512 1.698
Sn -1.877 1.984 -1.007
Sn -4.245 3.850 1.223
Mg -2.968 -0.662 -0.475
```

---

Record 23
Density functional theory data (PBE-GGA) for an optimized crystal structure of Tb6Nd3Dy2Tm.

Calculated values
SG: C2/m, No. 12
ΔE_f: 0.02 eV/atom
E: -4.630 eV/atom
calculated volume: 389.59 Å³/cell
N(E_F): 1.30 states/eV per atom

Cell and atoms, written as extended XYZ:
```
12
Lattice="-4.176 3.448 -3.029 -0.430 -6.189 -0.100 -5.156 1.222 10.614" Properties=species:S:1:pos:R:3 pbc="T T T"
Nd -4.881 -0.760 3.743
Nd -3.633 -3.972 4.719
Nd -6.130 2.452 2.767
Tb -7.975 0.466 5.168
Tb -5.044 0.234 7.220
Tb -1.788 -1.986 2.317
Tb -4.719 -1.753 0.266
Tb -6.728 -2.743 6.143
Tb -3.035 1.223 1.342
Dy -2.927 0.234 -2.052
Dy -1.679 -2.976 -1.076
Tm 0.000 0.000 0.000
```